one | Material: Ti2Si2As
Method: DFT, PBE
State: optimized geometry

Cell lengths 6.703, 6.703, 3.625 Å; angles 90.00, 90.00, 90.00 degrees
Atoms (fractional coordinates):
Ti (0.174, 0.326, 0.000)
Ti (0.326, 0.826, 0.000)
Ti (0.674, 0.174, 0.000)
Ti (0.826, 0.674, 0.000)
Si (0.125, 0.625, 0.500)
Si (0.375, 0.125, 0.500)
Si (0.625, 0.875, 0.500)
Si (0.875, 0.375, 0.500)
As (0.000, 0.000, 0.000)
As (0.500, 0.500, 0.000)



two | Material: Ti2Si2As
Method: DFT, PBE
State: optimized geometry

Cell lengths 3.416, 3.416, 13.676 Å; angles 90.00, 90.00, 90.00 degrees
Atoms (fractional coordinates):
Ti (0.000, 0.000, 0.102)
Ti (0.000, 0.000, 0.898)
Ti (0.500, 0.500, 0.398)
Ti (0.500, 0.500, 0.602)
Si (0.000, 0.500, 0.250)
Si (0.000, 0.500, 0.750)
Si (0.500, 0.000, 0.250)
Si (0.500, 0.000, 0.750)
As (0.000, 0.000, 0.500)
As (0.500, 0.500, 0.000)



Which structure is the most stable? The one labeled two.



one | Material: TiSi3As
Method: DFT, PBE
State: optimized geometry

Cell lengths 4.701, 4.701, 4.701 Å; angles 90.00, 90.00, 90.00 degrees
Atoms (fractional coordinates):
Ti (0.000, 0.000, 0.000)
Si (0.000, 0.500, 0.500)
Si (0.500, 0.000, 0.500)
Si (0.500, 0.500, 0.000)
As (0.500, 0.500, 0.500)



two | Material: TiSi3As
Method: DFT, PBE
State: optimized geometry

Cell lengths 4.789, 4.789, 4.789 Å; angles 90.00, 90.00, 90.00 degrees
Atoms (fractional coordinates):
Ti (0.000, 0.000, 0.000)
Si (0.000, 0.000, 0.500)
Si (0.000, 0.500, 0.000)
Si (0.500, 0.000, 0.000)
As (0.500, 0.500, 0.500)



Which structure is the most stable? The one labeled two.